(1)
# NaY2Tl2

Crystalline NaY2Tl2 at its relaxed geometry (PBE-GGA, the Alexandria database).

Calculated values
magnetic moment: 0.20 μB per formula unit
DOS at the Fermi energy: 9.0 states/eV per cell
ΔH_f (0 K): -165 meV/atom
final energy: -39.605 eV/cell
V: 300.6 Å³ per cell
energy above the most stable polymorph in this dataset: 46.7 meV per atom
mass density: 6.73 Mg/m³
space group: P4/mbm, No. 127

Lattice parameters (Å, degrees): 9.2671 9.2671 3.5002 90.00 90.00 90.00
Closest atoms and distances in Å follow each position.
Positions (direct):
Y 0.3725 0.8725 0.0000  6 Tl 3.13-3.33, 3 Y 3.34-3.50
Y 0.8725 0.6275 0.0000  6 Tl 3.13-3.33, 3 Y 3.34-3.50
Y 0.6275 0.1275 0.0000  6 Tl 3.13-3.33, 3 Y 3.34-3.50
Y 0.1275 0.3725 0.0000  6 Tl 3.13-3.33, 3 Y 3.34-3.50
Na 0.0000 0.0000 0.0000  2 Na 3.50, 4 Y 3.65, 8 Tl 3.84
Na 0.5000 0.5000 0.0000  2 Na 3.50, 4 Y 3.65, 8 Tl 3.84
Tl 0.1744 0.6744 0.5000  6 Y 3.13-3.33, 2 Tl 3.50
Tl 0.6744 0.8256 0.5000  6 Y 3.13-3.33, 2 Tl 3.50
Tl 0.8256 0.3256 0.5000  6 Y 3.13-3.33, 2 Tl 3.50
Tl 0.3256 0.1744 0.5000  6 Y 3.13-3.33, 2 Tl 3.50

***

(2)
# NaY2Tl2

Crystalline NaY2Tl2 at its relaxed geometry (PBE-GGA, the Alexandria database).

Calculated values
magnetic moment: 0.95 μB per formula unit
DOS at the Fermi energy: 5.7 states/eV per cell
ΔH_f (0 K): 66 meV/atom
final energy: -18.649 eV/cell
V: 165.5 Å³ per cell
energy above the most stable polymorph in this dataset: 277.3 meV per atom
mass density: 6.12 Mg/m³
space group: I4/mmm, No. 139

Lattice parameters (Å, degrees): 4.8399 4.8399 7.8496 72.04 72.04 90.00
Closest atoms and distances in Å follow each position.
Positions (direct):
Y 0.7500 0.2500 0.5000  4 Tl 3.21, 4 Y 3.42
Y 0.2500 0.7500 0.5000  4 Tl 3.21, 4 Y 3.42
Na 0.0000 0.0000 0.0000  8 Tl 3.71
Tl 0.3990 0.3990 0.2019  1 Tl 2.85
Tl 0.6010 0.6010 0.7981  1 Tl 2.85

***

(3)
# NaYTl

Crystalline NaYTl at its relaxed geometry (PBE-GGA, the Alexandria database).

Calculated values
magnetic moment: 0.00 μB per formula unit
DOS at the Fermi energy: 5.0 states/eV per cell
ΔH_f (0 K): -172 meV/atom
final energy: -21.333 eV/cell
V: 167.3 Å³ per cell
energy above the most stable polymorph in this dataset: 0.0 meV per atom
mass density: 6.28 Mg/m³
space group: P6_3/mmc, No. 194

Lattice parameters (Å, degrees): 5.5049 5.5049 6.3769 90.00 90.00 120.01
Closest atoms and distances in Å follow each position.
Positions (direct):
Na 0.0000 0.5000 0.0000  2 Na 3.19, 6 Y 3.55-3.56, 6 Tl 3.55-3.56
Na 0.0000 0.5000 0.5000  2 Na 3.19, 6 Y 3.55-3.56, 6 Tl 3.55-3.56
Y 0.3332 0.1668 0.7500  5 Tl 3.18-3.19, 6 Na 3.55-3.56
Y 0.6668 0.8332 0.2500  5 Tl 3.18-3.19, 6 Na 3.55-3.56
Tl 0.6666 0.8334 0.7500  5 Y 3.18-3.19, 6 Na 3.55-3.56
Tl 0.3334 0.1666 0.2500  5 Y 3.18-3.19, 6 Na 3.55-3.56